{
  "formula": "CeInIrRh",
  "functional": "PBE",
  "state": "optimized geometry",
  "lattice_angstrom": [[4.7805, 0.0000, 0.0000], [2.3903, 4.1401, 0.0000], [2.3903, 1.3800, 3.9033]],
  "species": ["Ir", "Rh", "Ce", "In"],
  "frac_coords": [[0.0000, 0.0000, 0.0000], [0.5000, 0.5000, 0.5000], [0.7500, 0.7500, 0.7500], [0.2500, 0.2500, 0.2500]],
  "space_group": "F-43m, No. 216",
  "dft_energy_ev_per_cell": -27.07,
  "magnetic_moment_mub_per_fu": 0.004
}